Record 1
Density functional theory data (PBE) for a relaxed ScNiPt2 crystal.

a b c (Å): 2.876 3.887 5.532
angles (deg): 90.00 90.00 90.00
Fractional positions:
Ni (0.500, 0.500, 0.770)
Pt (0.000, 0.000, 0.974)
Pt (0.500, 0.500, 0.255)
Sc (0.000, 0.000, 0.501)

Values from the calculation:
- M_tot (μB per formula unit) = 0.41
- formation enthalpy at 0 K (eV/f.u.) = -2.54


Record 2
Density functional theory data (PBE) for a relaxed TmCo4Si4 crystal.

a b c (Å): 5.562 5.562 7.718
angles (deg): 90.00 90.00 90.00
Fractional positions:
Tm (0.000, 0.000, 0.000)
Tm (0.500, 0.500, 0.500)
Co (0.232, 0.500, 0.887)
Co (0.768, 0.500, 0.887)
Co (0.500, 0.768, 0.113)
Co (0.500, 0.232, 0.113)
Co (0.000, 0.732, 0.387)
Co (0.000, 0.268, 0.387)
Co (0.268, 0.000, 0.613)
Co (0.732, 0.000, 0.613)
Si (0.500, 0.790, 0.817)
Si (0.500, 0.210, 0.817)
Si (0.790, 0.500, 0.183)
Si (0.210, 0.500, 0.183)
Si (0.290, 0.000, 0.317)
Si (0.710, 0.000, 0.317)
Si (0.000, 0.290, 0.683)
Si (0.000, 0.710, 0.683)

Values from the calculation:
- M_tot (μB per formula unit) = 0.00
- energy relative to the elements, uncorrected (eV per atom) = -0.572


Record 3
Density functional theory data (PBE) for a relaxed Sr2Ga3AgGe4 crystal.

a b c (Å): 4.644 4.644 10.388
angles (deg): 90.00 90.00 90.00
Fractional positions:
Sr (0.500, 0.000, 0.253)
Sr (0.000, 0.500, 0.747)
Ga (0.000, 0.000, 0.500)
Ga (0.500, 0.000, 0.874)
Ga (0.000, 0.500, 0.126)
Ag (0.500, 0.500, 0.500)
Ge (0.500, 0.500, 0.000)
Ge (0.000, 0.000, 0.000)
Ge (0.500, 0.000, 0.631)
Ge (0.000, 0.500, 0.369)

Values from the calculation:
- M_tot (μB per formula unit) = 0.00
- formation enthalpy at 0 K (eV/f.u.) = -3.26


Record 4
Density functional theory data (PBE) for a relaxed AsP2Pb crystal.

a b c (Å): 3.754 3.754 6.088
angles (deg): 90.00 90.00 90.00
Fractional positions:
As (0.500, 0.500, 0.750)
P (0.000, 0.000, 0.927)
P (0.000, 0.000, 0.573)
Pb (0.500, 0.500, 0.250)

Values from the calculation:
- M_tot (μB per formula unit) = 0.00
- relative energy among the computed polymorphs (meV/atom) = 198.0
- formation enthalpy at 0 K (eV/f.u.) = 1.59